Material: NdTc4Ge12
Method: DFT, GGA-PBE
State: optimized geometry

Its density of states at the Fermi level is 0.902 states/eV/atom. The spin magnetization is 0.0 μB/cell. Its formation energy is 0.16 eV/atom.

The structure belongs to space group Im-3 (No. 204); the cell edges are 8.809, 8.809 and 8.809 Å and the angles 90.00°, 90.00° and 90.00°. The distinct sites, in fractional coordinates, are Nd at (0.000, 0.000, 0.000), Tc at (0.250, 0.250, 0.250) and Ge at (0.000, 0.159, 0.341).

***

Material: SrTeO2F
Method: DFT, GGA-PBE
State: optimized geometry

Its density of states at the Fermi level is 0.880 states/eV/atom. The uncorrected formation energy comes out at -0.829 eV per atom. The spin magnetization is 0.6 μB/cell.

The structure belongs to space group P4/mmm (No. 123); the cell edges are 4.713, 4.713 and 4.426 Å and the angles 90.00°, 90.00° and 90.00°. The distinct sites, in fractional coordinates, are Sr at (0.000, 0.000, 0.000), Te at (0.500, 0.500, 0.500), O at (0.000, 0.500, 0.000) and F at (0.000, 0.000, 0.500).

***

- What is the formula in the second record?
  SrTeO2F